[1]
A geometry-optimized Sm2Dy4ErTm structure. Source: Alexandria via LeMat-Bulk, functional PBE.

Cell: 9.4793 9.4793 11.7553 Å, 128.32 128.32 88.59°
Element x y z (fractional)
Dy  0.2448  0.7523  0.9987
Dy  0.7477  0.2552  0.5013
Dy  0.7505  0.7459  0.9949
Dy  0.2459  0.2505  0.4949
Dy  0.2523  0.7447  0.4987
Dy  0.7553  0.2477  0.0013
Dy  0.7541  0.7495  0.5051
Dy  0.2495  0.2541  0.0051
Tm  0.5000  0.5000  0.5000
Tm  0.0000  0.0000  0.0000
Sm  0.5000  0.0000  0.0000
Sm  0.5000  0.0000  0.5000
Sm  0.0000  0.0000  0.5000
Sm  0.5000  0.5000  0.0000
Er  0.0000  0.5000  0.0000
Er  0.0000  0.5000  0.5000

Magnetic moment (μB/atom): 0.412
DFT total energy (eV/atom): -4.17
Space-group type: C2/c, No. 15
Calculated formation energy (eV/atom): 0.44

[2]
A geometry-optimized LaAuSe3 structure. Source: Alexandria via LeMat-Bulk, functional PBE.

Cell: 5.7593 5.7593 5.7593 Å, 90.00 90.00 90.00°
Element x y z (fractional)
La  0.0000  0.0000  0.0000
Se  0.0000  0.0000  0.5000
Se  0.5000  0.0000  0.0000
Se  0.0000  0.5000  0.0000
Au  0.5000  0.5000  0.5000

Magnetic moment (μB/atom): 0.234
DFT total energy (eV/atom): -3.65
Space-group type: Pm-3m, No. 221

[3]
A geometry-optimized Tm3Be2Ir5 structure. Source: Alexandria via LeMat-Bulk, functional PBE.

Cell: 3.3358 9.7883 9.7883 Å, 90.00 90.00 90.00°
Element x y z (fractional)
Tm  0.0000  0.1762  0.3238
Tm  0.0000  0.6762  0.1762
Tm  0.0000  0.0000  0.0000
Tm  0.0000  0.3238  0.8238
Tm  0.0000  0.5000  0.5000
Tm  0.0000  0.8238  0.6762
Be  0.0000  0.3814  0.1186
Be  0.0000  0.8814  0.3814
Be  0.0000  0.1186  0.6186
Be  0.0000  0.6186  0.8814
Ir  0.5000  0.5702  0.7221
Ir  0.5000  0.0000  0.5000
Ir  0.5000  0.5000  0.0000
Ir  0.5000  0.2779  0.5702
Ir  0.5000  0.7221  0.4298
Ir  0.5000  0.9298  0.2221
Ir  0.5000  0.4298  0.2779
Ir  0.5000  0.2221  0.0702
Ir  0.5000  0.7779  0.9298
Ir  0.5000  0.0702  0.7779

Magnetic moment (μB/atom): 0.000
DFT total energy (eV/atom): -7.34
Space-group type: P4/mbm, No. 127
Calculated formation energy (eV/atom): -0.82

[4]
A geometry-optimized ReIrOs structure. Source: Alexandria via LeMat-Bulk, functional PBE.

Cell: 6.1116 6.1116 2.7502 Å, 77.00 77.00 26.01°
Element x y z (fractional)
Os  0.3286  0.3286  0.6714
Ir  0.0026  0.0026  0.9974
Re  0.6688  0.6688  0.3312

Magnetic moment (μB/atom): 0.000
DFT total energy (eV/atom): -10.88
Space-group type: I4mm, No. 107
Calculated formation energy (eV/atom): -0.03